Entry 1:
First-principles (PBE) data for a geometry-optimized ReIr2Cl structure, as listed in Alexandria.

abc: 2.7778 4.9101 9.1882
angles: 90.00 90.00 90.00
Fractional positions:
Re (0.0000, 0.0000, 0.0000)
Re (0.5000, 0.5000, 0.0000)
Ir (0.0000, 0.5000, 0.2419)
Ir (0.0000, 0.5000, 0.7581)
Ir (0.5000, 0.0000, 0.2419)
Ir (0.5000, 0.0000, 0.7581)
Cl (0.0000, 0.0000, 0.5000)
Cl (0.5000, 0.5000, 0.5000)

## Properties
Total DFT energy (no corrections): -59.60 eV/cell
Symmetry: Cmmm, No. 65
Energy above the most stable polymorph in this dataset: 0.262 eV per atom
Formation energy (no corrections): 2.22 eV/f.u.

***

Entry 2:
First-principles (PBE) data for a geometry-optimized La2Ge5Pt3 structure, as listed in Alexandria.

abc: 8.5819 8.5819 8.5819
angles: 106.12 89.89 136.41
Fractional positions:
La (0.1302, 0.2325, 0.3627)
La (0.3698, 0.7325, 0.1022)
La (0.6302, 0.2675, 0.8978)
La (0.8698, 0.7675, 0.6373)
Ge (0.0188, 0.7500, 0.2688)
Ge (0.1079, 0.6506, 0.7585)
Ge (0.2500, 0.2500, 0.0000)
Ge (0.3921, 0.1506, 0.5427)
Ge (0.4812, 0.7500, 0.7312)
Ge (0.5188, 0.2500, 0.2688)
Ge (0.6079, 0.8494, 0.4573)
Ge (0.7500, 0.7500, 0.0000)
Ge (0.8921, 0.3494, 0.2415)
Ge (0.9812, 0.2500, 0.7312)
Pt (0.1364, 0.8887, 0.0251)
Pt (0.2500, 0.7500, 0.5000)
Pt (0.3636, 0.3887, 0.7523)
Pt (0.6364, 0.6113, 0.2477)
Pt (0.7500, 0.2500, 0.5000)
Pt (0.8636, 0.1113, 0.9749)

## Properties
Total DFT energy (no corrections): -119.93 eV/cell
Symmetry: Ibam, No. 72

***

Entry 3:
First-principles (PBE) data for a geometry-optimized NdPuNiHg structure, as listed in Alexandria.

abc: 7.3031 7.3031 7.3031
angles: 90.00 90.00 90.00
Fractional positions:
Nd (0.0000, 0.0000, 0.0000)
Nd (0.0000, 0.5000, 0.5000)
Nd (0.5000, 0.0000, 0.5000)
Nd (0.5000, 0.5000, 0.0000)
Pu (0.0000, 0.0000, 0.5000)
Pu (0.0000, 0.5000, 0.0000)
Pu (0.5000, 0.0000, 0.0000)
Pu (0.5000, 0.5000, 0.5000)
Ni (0.2500, 0.2500, 0.7500)
Ni (0.2500, 0.7500, 0.2500)
Ni (0.7500, 0.2500, 0.2500)
Ni (0.7500, 0.7500, 0.7500)
Hg (0.2500, 0.2500, 0.2500)
Hg (0.2500, 0.7500, 0.7500)
Hg (0.7500, 0.2500, 0.7500)
Hg (0.7500, 0.7500, 0.2500)

## Properties
Total DFT energy (no corrections): -101.94 eV/cell
Symmetry: F-43m, No. 216

***

The lowest total DFT energy (no corrections) belongs to which entry?
La2Ge5Pt3

***

The lowest total DFT energy (no corrections) belongs to which entry?
La2Ge5Pt3